No. 1
Mo2AsCl | PBE | optimized geometry

Cell and atoms, written as POSCAR:
```
Mo2AsCl
1.0
3.066 0.000 0.000
0.000 5.252 0.000
0.000 0.000 8.280
Mo As Cl
4 2 2
Cartesian
0.000 0.000 1.978
0.000 0.000 6.302
1.533 2.626 1.978
1.533 2.626 6.302
0.000 2.626 0.000
1.533 0.000 0.000
0.000 2.626 4.140
1.533 0.000 4.140
```

Space group: Cmmm, No. 65
Excess energy over the best structure of this formula in the dataset: 619.3 meV/atom
Uncorrected formation energy: 179 kJ/mol of formula units

---

No. 2
MoAs4Cl | PBE | optimized geometry

Cell and atoms, written as POSCAR:
```
MoAs4Cl
1.0
0.000 3.955 3.955
3.955 0.000 3.955
3.955 3.955 0.000
Mo As Cl
1 4 1
Cartesian
0.000 0.000 0.000
4.883 3.026 3.026
3.026 4.883 3.026
3.026 3.026 4.883
4.883 4.883 4.883
1.977 1.977 1.977
```

Space group: F-43m, No. 216
Uncorrected formation energy: 389 kJ/mol of formula units